## Ac12Co3C5 (GGA-PBE)

Data for an optimized crystal structure of Ac12Co3C5.

DOS at the Fermi energy   55.59 states/eV/cell
Volume   29.58 Å³ per atom
VASP energy   -5.57 eV per atom

a b c (Å): 14.540 14.540 14.540
angles (deg): 109.47 109.47 109.47
Atoms (fractional coordinates):
Ac 0.031 0.209 0.127
Ac 0.031 0.322 0.904
Ac 0.082 0.709 0.678
Ac 0.082 0.873 0.404
Ac 0.096 0.627 0.418
Ac 0.096 0.969 0.678
Ac 0.127 0.031 0.209
Ac 0.127 0.596 0.918
Ac 0.178 0.209 0.582
Ac 0.178 0.469 0.596
Ac 0.209 0.127 0.031
Ac 0.209 0.582 0.178
Ac 0.291 0.322 0.918
Ac 0.291 0.469 0.373
Ac 0.322 0.904 0.031
Ac 0.322 0.918 0.291
Ac 0.373 0.291 0.469
Ac 0.373 0.582 0.904
Ac 0.404 0.082 0.873
Ac 0.404 0.822 0.531
Ac 0.418 0.096 0.627
Ac 0.418 0.822 0.791
Ac 0.469 0.373 0.291
Ac 0.469 0.596 0.178
Ac 0.531 0.404 0.822
Ac 0.531 0.627 0.709
Ac 0.582 0.178 0.209
Ac 0.582 0.904 0.373
Ac 0.596 0.178 0.469
Ac 0.596 0.918 0.127
Ac 0.627 0.418 0.096
Ac 0.627 0.709 0.531
Ac 0.678 0.082 0.709
Ac 0.678 0.096 0.969
Ac 0.709 0.531 0.627
Ac 0.709 0.678 0.082
Ac 0.791 0.418 0.822
Ac 0.791 0.873 0.969
Ac 0.822 0.531 0.404
Ac 0.822 0.791 0.418
Ac 0.873 0.404 0.082
Ac 0.873 0.969 0.791
Ac 0.904 0.031 0.322
Ac 0.904 0.373 0.582
Ac 0.918 0.127 0.596
Ac 0.918 0.291 0.322
Ac 0.969 0.678 0.096
Ac 0.969 0.791 0.873
Co 0.125 0.250 0.375
Co 0.125 0.375 0.750
Co 0.250 0.375 0.125
Co 0.250 0.875 0.625
Co 0.375 0.125 0.250
Co 0.375 0.750 0.125
Co 0.625 0.250 0.875
Co 0.625 0.875 0.750
Co 0.750 0.125 0.375
Co 0.750 0.625 0.875
Co 0.875 0.625 0.250
Co 0.875 0.750 0.625
C 0.000 0.000 0.000
C 0.000 0.000 0.500
C 0.000 0.500 0.000
C 0.000 0.500 0.500
C 0.125 0.750 0.875
C 0.125 0.875 0.250
C 0.250 0.125 0.875
C 0.250 0.625 0.375
C 0.375 0.250 0.625
C 0.375 0.625 0.750
C 0.500 0.000 0.000
C 0.500 0.000 0.500
C 0.500 0.500 0.000
C 0.500 0.500 0.500
C 0.625 0.375 0.250
C 0.625 0.750 0.375
C 0.750 0.375 0.625
C 0.750 0.875 0.125
C 0.875 0.125 0.750
C 0.875 0.250 0.125


## TaMoW (GGA-PBE)

Data for an optimized crystal structure of TaMoW.

DOS at the Fermi energy   5.21 states/eV/cell
Volume   17.36 Å³ per atom
Offset from the most stable computed form   0.506 eV per atom

a b c (Å): 6.048 6.048 7.239
angles (deg): 125.67 125.67 29.54
Atoms (fractional coordinates):
Ta 0.106 0.106 0.386
Ta 0.894 0.894 0.614
Mo 0.374 0.374 0.921
Mo 0.626 0.626 0.079
W 0.352 0.352 0.252
W 0.648 0.648 0.748


## Cu12Se5S3 (GGA-PBE)

Data for an optimized crystal structure of Cu12Se5S3.

DOS at the Fermi energy   58.22 states/eV/cell
Volume   17.11 Å³ per atom
ΔE_f (raw)   -1.13 eV per formula unit

a b c (Å): 12.114 12.114 12.114
angles (deg): 109.47 109.47 109.47
Atoms (fractional coordinates):
Cu 0.061 0.630 0.391
Cu 0.061 0.931 0.671
Cu 0.069 0.239 0.130
Cu 0.069 0.329 0.939
Cu 0.109 0.739 0.671
Cu 0.109 0.870 0.439
Cu 0.130 0.069 0.239
Cu 0.130 0.561 0.891
Cu 0.171 0.239 0.609
Cu 0.171 0.431 0.561
Cu 0.239 0.130 0.069
Cu 0.239 0.609 0.171
Cu 0.261 0.329 0.891
Cu 0.261 0.431 0.370
Cu 0.329 0.891 0.261
Cu 0.329 0.939 0.069
Cu 0.370 0.261 0.431
Cu 0.370 0.609 0.939
Cu 0.391 0.061 0.630
Cu 0.391 0.829 0.761
Cu 0.431 0.370 0.261
Cu 0.431 0.561 0.171
Cu 0.439 0.109 0.870
Cu 0.439 0.829 0.569
Cu 0.561 0.171 0.431
Cu 0.561 0.891 0.130
Cu 0.569 0.439 0.829
Cu 0.569 0.630 0.739
Cu 0.609 0.171 0.239
Cu 0.609 0.939 0.370
Cu 0.630 0.391 0.061
Cu 0.630 0.739 0.569
Cu 0.671 0.061 0.931
Cu 0.671 0.109 0.739
Cu 0.739 0.569 0.630
Cu 0.739 0.671 0.109
Cu 0.761 0.391 0.829
Cu 0.761 0.870 0.931
Cu 0.829 0.569 0.439
Cu 0.829 0.761 0.391
Cu 0.870 0.439 0.109
Cu 0.870 0.931 0.761
Cu 0.891 0.130 0.561
Cu 0.891 0.261 0.329
Cu 0.931 0.671 0.061
Cu 0.931 0.761 0.870
Cu 0.939 0.069 0.329
Cu 0.939 0.370 0.609
Se 0.000 0.000 0.000
Se 0.000 0.000 0.500
Se 0.000 0.500 0.000
Se 0.000 0.500 0.500
Se 0.125 0.750 0.875
Se 0.125 0.875 0.250
Se 0.250 0.125 0.875
Se 0.250 0.625 0.375
Se 0.375 0.250 0.625
Se 0.375 0.625 0.750
Se 0.500 0.000 0.000
Se 0.500 0.000 0.500
Se 0.500 0.500 0.000
Se 0.500 0.500 0.500
Se 0.625 0.375 0.250
Se 0.625 0.750 0.375
Se 0.750 0.375 0.625
Se 0.750 0.875 0.125
Se 0.875 0.125 0.750
Se 0.875 0.250 0.125
S 0.125 0.250 0.375
S 0.125 0.375 0.750
S 0.250 0.375 0.125
S 0.250 0.875 0.625
S 0.375 0.125 0.250
S 0.375 0.750 0.125
S 0.625 0.250 0.875
S 0.625 0.875 0.750
S 0.750 0.125 0.375
S 0.750 0.625 0.875
S 0.875 0.625 0.250
S 0.875 0.750 0.625